# 1
Below is crystalline Nd2UGe4Ir3 at its relaxed geometry, with properties calculated at the GGA-PBE level.

Structure (CIF):
```
data_Nd2UGe4Ir3
_symmetry_space_group_name_H-M 'P -4 m 2'
_symmetry_Int_Tables_number 115
_symmetry_space_group_name_Hall 'P -4 -2'
_cell_length_a 4.256
_cell_length_b 4.256
_cell_length_c 11.345
_cell_angle_alpha 90.00
_cell_angle_beta 90.00
_cell_angle_gamma 90.00
loop_
_atom_site_label
_atom_site_fract_x
_atom_site_fract_y
_atom_site_fract_z
Nd1 0.000 0.500 0.230
U1 0.000 0.000 0.500
Ge1 0.000 0.000 0.000
Ge2 0.000 0.500 0.671
Ge3 0.500 0.500 0.000
Ir1 0.000 0.500 0.886
Ir2 0.500 0.500 0.500
```

Summary:
VASP energy in eV for the cell shown: -71.77
Density of states at the Fermi level in states/eV/f.u.: 10.0

***

# 2
Below is crystalline Sc5TcPd2 at its relaxed geometry, with properties calculated at the GGA-PBE level.

Structure (CIF):
```
data_Sc5TcPd2
_symmetry_space_group_name_H-M 'P b a m'
_symmetry_Int_Tables_number 55
_symmetry_space_group_name_Hall '-P 2 2ab'
_cell_length_a 5.898
_cell_length_b 11.276
_cell_length_c 4.621
_cell_angle_alpha 90.00
_cell_angle_beta 90.00
_cell_angle_gamma 90.00
loop_
_atom_site_label
_atom_site_fract_x
_atom_site_fract_y
_atom_site_fract_z
Sc1 0.000 0.000 0.000
Sc2 0.146 0.279 0.000
Sc3 0.165 0.610 0.500
Tc1 0.000 0.500 0.000
Pd1 0.158 0.877 0.500
```

Summary:
VASP energy in eV for the cell shown: -113.73
Density of states at the Fermi level in states/eV/f.u.: 6.4

***

# 3
Below is crystalline HfCd3Br at its relaxed geometry, with properties calculated at the GGA-PBE level.

Structure (CIF):
```
data_HfCd3Br
_symmetry_space_group_name_H-M 'P m -3 m'
_symmetry_Int_Tables_number 221
_symmetry_space_group_name_Hall '-P 4 2 3'
_cell_length_a 5.752
_cell_length_b 5.752
_cell_length_c 5.752
_cell_angle_alpha 90.00
_cell_angle_beta 90.00
_cell_angle_gamma 90.00
loop_
_atom_site_label
_atom_site_fract_x
_atom_site_fract_y
_atom_site_fract_z
Hf1 0.000 0.000 0.000
Cd1 0.000 0.000 0.500
Br1 0.500 0.500 0.500
```

Summary:
VASP energy in eV for the cell shown: -11.05
Density of states at the Fermi level in states/eV/f.u.: 4.1

***

# 4
Below is crystalline TbHoErZr at its relaxed geometry, with properties calculated at the GGA-PBE level.

Structure (CIF):
```
data_TbHoErZr
_symmetry_space_group_name_H-M 'F -4 3 m'
_symmetry_Int_Tables_number 216
_symmetry_space_group_name_Hall 'F -4 2 3'
_cell_length_a 7.750
_cell_length_b 7.750
_cell_length_c 7.750
_cell_angle_alpha 90.00
_cell_angle_beta 90.00
_cell_angle_gamma 90.00
loop_
_atom_site_label
_atom_site_fract_x
_atom_site_fract_y
_atom_site_fract_z
Tb1 0.000 0.000 0.000
Ho1 0.250 0.250 0.750
Er1 0.250 0.250 0.250
Zr1 0.000 0.000 0.500
```

Summary:
VASP energy in eV for the cell shown: -85.89
Density of states at the Fermi level in states/eV/f.u.: 6.7

***

# 5
Below is crystalline CsSiMoN at its relaxed geometry, with properties calculated at the GGA-PBE level.

Structure (CIF):
```
data_CsSiMoN
_symmetry_space_group_name_H-M 'I m m 2'
_symmetry_Int_Tables_number 44
_symmetry_space_group_name_Hall 'I 2 -2'
_cell_length_a 3.208
_cell_length_b 3.622
_cell_length_c 13.809
_cell_angle_alpha 90.00
_cell_angle_beta 90.00
_cell_angle_gamma 90.00
loop_
_atom_site_label
_atom_site_fract_x
_atom_site_fract_y
_atom_site_fract_z
Cs1 0.000 0.000 0.000
Si1 0.000 0.500 0.779
Mo1 0.000 0.500 0.242
N1 0.000 0.000 0.354
```

Summary:
VASP energy in eV for the cell shown: -48.14
Density of states at the Fermi level in states/eV/f.u.: 1.0

***

# 6
Below is crystalline YTaCuSi2 at its relaxed geometry, with properties calculated at the GGA-PBE level.

Structure (CIF):
```
data_YTaCuSi2
_symmetry_space_group_name_H-M 'P 4/m m m'
_symmetry_Int_Tables_number 123
_symmetry_space_group_name_Hall '-P 4 2'
_cell_length_a 4.966
_cell_length_b 4.966
_cell_length_c 4.669
_cell_angle_alpha 90.00
_cell_angle_beta 90.00
_cell_angle_gamma 90.00
loop_
_atom_site_label
_atom_site_fract_x
_atom_site_fract_y
_atom_site_fract_z
Y1 0.000 0.000 0.000
Ta1 0.500 0.500 0.500
Cu1 0.000 0.000 0.500
Si1 0.000 0.500 0.000
```

Summary:
VASP energy in eV for the cell shown: -24.79
Density of states at the Fermi level in states/eV/f.u.: 4.5

***

# 7
Below is crystalline Ac4PtAuSe2 at its relaxed geometry, with properties calculated at the GGA-PBE level.

Structure (CIF):
```
data_Ac4PtAuSe2
_symmetry_space_group_name_H-M 'P 1 2/m 1'
_symmetry_Int_Tables_number 10
_symmetry_space_group_name_Hall '-P 2y'
_cell_length_a 7.632
_cell_length_b 4.408
_cell_length_c 8.203
_cell_angle_alpha 90.00
_cell_angle_beta 107.88
_cell_angle_gamma 90.00
loop_
_atom_site_label
_atom_site_fract_x
_atom_site_fract_y
_atom_site_fract_z
Ac1 0.238 0.000 0.230
Ac2 0.247 0.500 0.765
Pt1 0.000 0.500 0.000
Au1 0.500 0.000 0.000
Se1 0.000 0.000 0.500
Se2 0.500 0.500 0.500
```

Summary:
VASP energy in eV for the cell shown: -43.86
Density of states at the Fermi level in states/eV/f.u.: 6.1

***

# 8
Below is crystalline CaDy3Ho2Bi6 at its relaxed geometry, with properties calculated at the GGA-PBE level.

Structure (CIF):
```
data_CaDy3Ho2Bi6
_symmetry_space_group_name_H-M 'C 1 2/m 1'
_symmetry_Int_Tables_number 12
_symmetry_space_group_name_Hall '-C 2y'
_cell_length_a 19.597
_cell_length_b 4.486
_cell_length_c 9.006
_cell_angle_alpha 90.00
_cell_angle_beta 103.23
_cell_angle_gamma 90.00
loop_
_atom_site_label
_atom_site_fract_x
_atom_site_fract_y
_atom_site_fract_z
Ca1 0.000 0.000 0.000
Dy1 0.000 0.000 0.500
Dy2 0.165 0.500 0.834
Ho1 0.166 0.500 0.332
Bi1 0.001 0.500 0.256
Bi2 0.167 0.000 0.583
Bi3 0.169 0.000 0.086
```

Summary:
VASP energy in eV for the cell shown: -116.18
Density of states at the Fermi level in states/eV/f.u.: 3.3

***

# 9
Below is crystalline Cd2Sb2Se at its relaxed geometry, with properties calculated at the GGA-PBE level.

Structure (CIF):
```
data_Cd2Sb2Se
_symmetry_space_group_name_H-M 'P 4/m b m'
_symmetry_Int_Tables_number 127
_symmetry_space_group_name_Hall '-P 4 2ab'
_cell_length_a 8.110
_cell_length_b 8.110
_cell_length_c 4.128
_cell_angle_alpha 90.00
_cell_angle_beta 90.00
_cell_angle_gamma 90.00
loop_
_atom_site_label
_atom_site_fract_x
_atom_site_fract_y
_atom_site_fract_z
Cd1 0.124 0.376 0.000
Sb1 0.195 0.695 0.500
Se1 0.000 0.000 0.500
```

Summary:
VASP energy in eV for the cell shown: -26.31
Density of states at the Fermi level in states/eV/f.u.: 2.8

***

# 10
Below is crystalline TlCdInPb2 at its relaxed geometry, with properties calculated at the GGA-PBE level.

Structure (CIF):
```
data_TlCdInPb2
_symmetry_space_group_name_H-M 'P 1 21/m 1'
_symmetry_Int_Tables_number 11
_symmetry_space_group_name_Hall '-P 2yb'
_cell_length_a 7.317
_cell_length_b 5.263
_cell_length_c 7.535
_cell_angle_alpha 90.00
_cell_angle_beta 90.31
_cell_angle_gamma 90.00
loop_
_atom_site_label
_atom_site_fract_x
_atom_site_fract_y
_atom_site_fract_z
Tl1 0.246 0.250 0.245
Cd1 0.054 0.250 0.849
In1 0.439 0.250 0.656
Pb1 0.158 0.750 0.540
Pb2 0.339 0.750 0.953
```

Summary:
VASP energy in eV for the cell shown: -26.58
Density of states at the Fermi level in states/eV/f.u.: 2.1

***

# 11
Below is crystalline MnAlFeGe at its relaxed geometry, with properties calculated at the GGA-PBE level.

Structure (CIF):
```
data_MnAlFeGe
_symmetry_space_group_name_H-M 'P m m m'
_symmetry_Int_Tables_number 47
_symmetry_space_group_name_Hall '-P 2 2'
_cell_length_a 2.909
_cell_length_b 4.074
_cell_length_c 4.093
_cell_angle_alpha 90.00
_cell_angle_beta 90.00
_cell_angle_gamma 90.00
loop_
_atom_site_label
_atom_site_fract_x
_atom_site_fract_y
_atom_site_fract_z
Mn1 0.000 0.000 0.000
Al1 0.500 0.000 0.500
Fe1 0.000 0.500 0.500
Ge1 0.500 0.500 0.000
```

Summary:
VASP energy in eV for the cell shown: -26.54
Density of states at the Fermi level in states/eV/f.u.: 3.0

***

# 12
Below is crystalline Co3Ni2Ir6 at its relaxed geometry, with properties calculated at the GGA-PBE level.

Structure (CIF):
```
data_Co3Ni2Ir6
_symmetry_space_group_name_H-M 'P -1'
_symmetry_Int_Tables_number 2
_symmetry_space_group_name_Hall '-P 1'
_cell_length_a 4.582
_cell_length_b 5.885
_cell_length_c 5.934
_cell_angle_alpha 107.53
_cell_angle_beta 105.07
_cell_angle_gamma 97.58
loop_
_atom_site_label
_atom_site_fract_x
_atom_site_fract_y
_atom_site_fract_z
Co1 0.000 0.000 0.000
Co2 0.363 0.268 0.453
Ni1 0.459 0.087 0.817
Ir1 0.093 0.824 0.363
Ir2 0.185 0.640 0.725
Ir3 0.275 0.447 0.093
```

Summary:
VASP energy in eV for the cell shown: -85.68
Density of states at the Fermi level in states/eV/f.u.: 15.2

***

# 13
Below is crystalline Tm6MgSc2 at its relaxed geometry, with properties calculated at the GGA-PBE level.

Structure (CIF):
```
data_Tm6MgSc2
_symmetry_space_group_name_H-M 'P -1'
_symmetry_Int_Tables_number 2
_symmetry_space_group_name_Hall '-P 1'
_cell_length_a 3.399
_cell_length_b 9.318
_cell_length_c 9.321
_cell_angle_alpha 60.02
_cell_angle_beta 89.95
_cell_angle_gamma 89.91
loop_
_atom_site_label
_atom_site_fract_x
_atom_site_fract_y
_atom_site_fract_z
Tm1 0.235 0.176 0.472
Tm2 0.236 0.472 0.852
Tm3 0.236 0.852 0.176
Mg1 0.500 0.500 0.500
Sc1 0.269 0.833 0.833
```

Summary:
VASP energy in eV for the cell shown: -40.76
Density of states at the Fermi level in states/eV/f.u.: 13.7